Entry 1:
{"formula": "Si4TcCl", "functional": "GGA-PBE", "state": "optimized geometry", "cell": [[0.000, 3.580, 3.580], [3.580, 0.000, 3.580], [3.580, 3.580, 0.000]], "species": ["Cl", "Si", "Si", "Si", "Si", "Tc"], "fractional_positions": [[0.000, 0.000, 0.000], [0.374, 0.374, 0.374], [0.374, 0.878, 0.374], [0.374, 0.374, 0.878], [0.878, 0.374, 0.374], [0.750, 0.750, 0.750]], "raw_formation_energy_kj_per_mol_atoms": 63}


Entry 2:
{"formula": "SiTcCl2", "functional": "GGA-PBE", "state": "optimized geometry", "cell": [[-2.539, 1.025, -1.611], [-1.969, -2.013, 1.823], [-2.996, 4.404, 7.521]], "species": ["Tc", "Si", "Cl", "Cl"], "fractional_positions": [[0.500, 0.920, 0.579], [0.000, 0.323, 0.680], [0.000, 0.091, 0.921], [0.500, 0.166, 0.320]], "relative_energy_kj_per_mol_atoms": 0.0, "raw_formation_energy_kj_per_mol_atoms": -28}


Entry 3:
{"formula": "Si2TcCl", "functional": "GGA-PBE", "state": "optimized geometry", "cell": [[5.809, 0.000, 0.000], [0.000, 5.809, 0.000], [2.904, 2.904, 5.539]], "species": ["Si", "Si", "Si", "Si", "Cl", "Cl", "Tc", "Tc"], "fractional_positions": [[0.875, 0.934, 0.750], [0.375, 0.316, 0.750], [0.066, 0.625, 0.250], [0.684, 0.125, 0.250], [0.250, 0.750, 0.500], [0.500, 0.500, 0.000], [0.000, 0.000, 0.000], [0.750, 0.250, 0.500]], "relative_energy_kj_per_mol_atoms": 45.6, "raw_formation_energy_kj_per_mol_atoms": 44}


Entry 4:
{"formula": "SiTc2Cl", "functional": "GGA-PBE", "state": "optimized geometry", "cell": [[5.085, -0.011, 0.002], [1.551, 4.843, -0.002], [-2.317, -3.791, 2.474]], "species": ["Tc", "Tc", "Si", "Cl"], "fractional_positions": [[0.997, 0.997, 0.000], [0.503, 0.503, 0.000], [0.250, 0.750, 0.500], [0.750, 0.250, 0.500]], "relative_energy_kj_per_mol_atoms": 48.7, "raw_formation_energy_kj_per_mol_atoms": 48}


Entry 5:
{"formula": "Si2TcCl", "functional": "GGA-PBE", "state": "optimized geometry", "cell": [[0.000, 3.178, 3.178], [3.178, 0.000, 3.178], [3.178, 3.178, 0.000]], "species": ["Si", "Si", "Cl", "Tc"], "fractional_positions": [[0.750, 0.750, 0.750], [0.250, 0.250, 0.250], [0.000, 0.000, 0.000], [0.500, 0.500, 0.500]], "relative_energy_kj_per_mol_atoms": 84.6, "raw_formation_energy_kj_per_mol_atoms": 83}


Entry 6:
{"formula": "Si2TcCl", "functional": "GGA-PBE", "state": "optimized geometry", "cell": [[-1.058, -4.239, 2.002], [2.322, -2.257, -3.551], [2.288, 0.104, 1.430]], "species": ["Si", "Si", "Cl", "Tc"], "fractional_positions": [[0.500, 0.500, 0.000], [0.000, 0.000, 0.000], [0.000, 0.500, 0.500], [0.500, 0.000, 0.500]], "relative_energy_kj_per_mol_atoms": 42.8, "raw_formation_energy_kj_per_mol_atoms": 42}


Entry 7:
{"formula": "SiTcCl2", "functional": "GGA-PBE", "state": "optimized geometry", "cell": [[-4.733, 3.371, -2.591], [-1.339, 1.099, -6.122], [1.009, -3.934, 4.897]], "species": ["Tc", "Cl", "Cl", "Si"], "fractional_positions": [[0.256, 0.756, 0.500], [0.065, 0.065, 0.000], [0.768, 0.268, 0.500], [0.411, 0.411, 0.000]], "relative_energy_kj_per_mol_atoms": 58.2, "raw_formation_energy_kj_per_mol_atoms": 30}


Entry 8:
{"formula": "Si2TcCl", "functional": "GGA-PBE", "state": "optimized geometry", "cell": [[-3.885, 2.500, -1.065], [-2.068, -2.020, -3.758], [1.473, -1.855, 4.108]], "species": ["Tc", "Si", "Si", "Cl"], "fractional_positions": [[0.250, 0.750, 0.500], [0.500, 0.500, 0.000], [0.000, 0.000, 0.000], [0.750, 0.250, 0.500]], "relative_energy_kj_per_mol_atoms": 58.8, "raw_formation_energy_kj_per_mol_atoms": 58}


| no. | E_tot (Ha/atom) |
| --- | --- |
| 1 | -0.1835 |
| 2 | -0.1896 |
| 3 | -0.1950 |
| 4 | -0.2391 |
| 5 | -0.1801 |
| 6 | -0.1960 |
| 7 | -0.1674 |
| 8 | -0.1899 |